(1)
First-principles (GGA-PBE) data for a geometry-optimized BeTlTc2 structure, as listed in Alexandria.

The structure in POSCAR format:
```
BeTlTc2
1.0
3.899 0.000 0.000
0.000 3.899 0.000
0.000 0.000 18.307
Be Tl Tc
4 4 8
Direct
0.000 0.000 0.000
0.000 0.500 0.250
0.500 0.000 0.750
0.500 0.500 0.500
0.000 0.000 0.500
0.000 0.500 0.750
0.500 0.000 0.250
0.500 0.500 0.000
0.167 0.250 0.125
0.250 0.667 0.375
0.250 0.833 0.875
0.333 0.250 0.625
0.667 0.750 0.625
0.750 0.167 0.875
0.750 0.333 0.375
0.833 0.750 0.125
```

## Properties
D(E_F) in states/eV per cell: 18.00
Energy above the lowest structure with this stoichiometry in meV per atom: 537


(2)
First-principles (GGA-PBE) data for a geometry-optimized BeTl2Tc structure, as listed in Alexandria.

The structure in POSCAR format:
```
BeTl2Tc
1.0
3.537 0.000 0.000
0.000 3.537 0.000
0.000 0.000 5.823
Be Tl Tc
1 2 1
Direct
0.000 0.000 0.000
0.500 0.500 0.245
0.500 0.500 0.755
0.000 0.000 0.500
```

## Properties
D(E_F) in states/eV per cell: 3.35
Energy above the lowest structure with this stoichiometry in meV per atom: 369


(3)
First-principles (GGA-PBE) data for a geometry-optimized Be2TlTc structure, as listed in Alexandria.

The structure in POSCAR format:
```
Be2TlTc
1.0
3.124 0.000 0.000
0.000 3.139 0.000
0.000 0.000 5.762
Be Tl Tc
2 1 1
Direct
0.000 0.000 0.175
0.000 0.000 0.825
0.500 0.500 0.500
0.500 0.500 0.000
```

## Properties
D(E_F) in states/eV per cell: 2.44
Energy above the lowest structure with this stoichiometry in meV per atom: 0


(4)
First-principles (GGA-PBE) data for a geometry-optimized Be2TlTc2 structure, as listed in Alexandria.

The structure in POSCAR format:
```
Be2TlTc2
1.0
6.341 0.000 0.000
0.000 6.341 0.000
0.000 0.000 3.263
Be Tl Tc
4 2 4
Direct
0.115 0.385 0.000
0.385 0.885 0.000
0.615 0.115 0.000
0.885 0.615 0.000
0.000 0.000 0.000
0.500 0.500 0.000
0.169 0.669 0.500
0.331 0.169 0.500
0.669 0.831 0.500
0.831 0.331 0.500
```

## Properties
D(E_F) in states/eV per cell: 9.50


For each record above, in turn, the calculated energy relative to the elements values are 0.735, 0.799, 0.239, 0.200 eV per atom.
For each record above, in turn, the calculated M_tot values are 0.000, 0.189, 0.000, 0.000 μB/f.u..